NaZn2Ru2 | PBE-GGA | optimized geometry

Calculated values
ΔH_f (0 K), eV/atom: 0.207
Density of states at the Fermi level, states/eV/f.u.: 2.74
Offset from the most stable computed form, eV/atom: 0.000
Theoretical density, Mg/m³: 7.207

Cell: 7.7767 7.7767 2.7122 Å, 90.00 90.00 90.00°
Space group P4/mbm (No. 127)
Symmetry-distinct sites (fractional):
Na1 0.0000 0.0000 0.0000 (multiplicity 2)
Zn1 0.1814 0.3186 0.5000 (multiplicity 4)
Ru1 0.1116 0.6116 0.0000 (multiplicity 4)